Material: Cs4Tm3PuTe8
Method: DFT, PBE-GGA
State: optimized geometry

Geometry as CIF:
```
data_Cs4Tm3PuTe8
_cell_length_a 9.097
_cell_length_b 10.334
_cell_length_c 9.098
_cell_angle_alpha 116.12
_cell_angle_beta 120.00
_cell_angle_gamma 90.00
_symmetry_space_group_name_H-M 'P 1'
_symmetry_Int_Tables_number 1
loop_
_symmetry_equiv_pos_as_xyz
'x,y,z'
loop_
_atom_site_label
_atom_site_type_symbol
_atom_site_fract_x
_atom_site_fract_y
_atom_site_fract_z
_atom_site_occupancy
Te1 Te 0.278 0.312 0.045 1
Cs1 Cs 0.000 0.000 0.000 1
Cs2 Cs 0.500 0.000 0.000 1
Te2 Te 0.271 0.313 0.542 1
Te3 Te 0.722 0.688 0.955 1
Te4 Te 0.729 0.687 0.458 1
Tm1 Tm 0.000 0.500 0.500 1
Te5 Te 0.233 0.688 0.955 1
Tm2 Tm 0.500 0.500 0.000 1
Pu1 Pu 0.000 0.500 0.000 1
Te6 Te 0.233 0.688 0.466 1
Tm3 Tm 0.500 0.500 0.500 1
Cs3 Cs 0.500 0.000 0.500 1
Te7 Te 0.767 0.312 0.534 1
Cs4 Cs 0.000 0.000 0.500 1
Te8 Te 0.767 0.312 0.045 1
```

Values from the calculation:
Space-group type: R-3m
Final energy (eV per cell): -76.9
Volume (Å³ per atom): 39.870
Mass density (Mg/m³): 5.995
DOS at the Fermi energy (states/eV per cell): 13.58
Total magnetic moment (μB per cell): 5.00
Energy relative to the elements, uncorrected (eV per atom): -1.2861